(1)
## Li2Ni2Sb2Pt (PBE)

Data for a relaxed Li2Ni2Sb2Pt crystal.

* calculated volume: 15.66 A^3/atom
* total magnetic moment: 0.000 μB/atom
* density: 8.6 g/cm³
* space group: R3m (160)
* calculated total energy: -32.24 eV per cell

a b c (Å): 7.295 7.295 7.295
angles (deg): 34.24 34.24 34.24
Fractional coordinates of all 7 atoms:
Li1 0.000 0.000 0.000
Li2 0.481 0.481 0.481
Ni1 0.125 0.125 0.125
Ni2 0.612 0.612 0.612
Sb1 0.253 0.253 0.253
Sb2 0.737 0.737 0.737
Pt1 0.868 0.868 0.868


(2)
## MgBeGaCo (PBE)

Data for a relaxed MgBeGaCo crystal.

* energy relative to the lowest polymorph listed for this composition: 25 meV per atom
* calculated volume: 12.62 A^3/atom
* total magnetic moment: 0.003 μB/atom
* density: 5.3 g/cm³
* space group: F-43m (216)

a b c (Å): 5.867 5.867 5.867
angles (deg): 90.00 90.00 90.00
Fractional coordinates of all 16 atoms:
Mg1 0.000 0.000 0.000
Mg2 0.000 0.500 0.500
Mg3 0.500 0.000 0.500
Mg4 0.500 0.500 0.000
Be1 0.250 0.250 0.750
Be2 0.250 0.750 0.250
Be3 0.750 0.250 0.250
Be4 0.750 0.750 0.750
Ga1 0.000 0.000 0.500
Ga2 0.000 0.500 0.000
Ga3 0.500 0.000 0.000
Ga4 0.500 0.500 0.500
Co1 0.250 0.250 0.250
Co2 0.250 0.750 0.750
Co3 0.750 0.250 0.750
Co4 0.750 0.750 0.250


(3)
## Li2Ta2Pt3 (PBE)

Data for a relaxed Li2Ta2Pt3 crystal.

* calculated volume: 16.47 A^3/atom
* total magnetic moment: 0.002 μB/atom
* density: 13.8 g/cm³
* space group: R3m (160)
* calculated total energy: -48.90 eV per cell

a b c (Å): 7.492 7.492 7.492
angles (deg): 33.69 33.69 33.69
Fractional coordinates of all 7 atoms:
Li1 0.000 0.000 0.000
Li2 0.491 0.491 0.491
Ta1 0.240 0.240 0.240
Ta2 0.748 0.748 0.748
Pt1 0.369 0.369 0.369
Pt2 0.620 0.620 0.620
Pt3 0.870 0.870 0.870